DFT (PBE) results for HgSb2Ru after structural relaxation.

```
HgSb2Ru
1.0
3.196 0.000 0.000
0.000 3.196 0.000
0.000 0.000 8.762
Hg Sb Ru
1 2 1
Direct
0.000 0.000 0.000 Hg
0.000 0.000 0.386 Sb
0.500 0.500 0.711 Sb
0.500 0.500 0.218 Ru
```

## Properties
calculated total energy = -4.27 eV per atom
raw formation energy = 182 meV/atom
spin magnetization = 0.00 μB per formula unit

DFT (PBE) results for LiRe3 after structural relaxation.

```
LiRe3
1.0
5.684 0.000 0.000
0.000 7.655 0.000
0.000 0.000 4.940
Li Re
4 12
Direct
0.105 0.250 0.103 Li
0.395 0.750 0.603 Li
0.605 0.250 0.397 Li
0.895 0.750 0.897 Li
0.020 0.750 0.368 Re
0.187 0.539 0.854 Re
0.187 0.961 0.854 Re
0.313 0.039 0.354 Re
0.313 0.461 0.354 Re
0.480 0.250 0.868 Re
0.520 0.750 0.132 Re
0.687 0.539 0.646 Re
0.687 0.961 0.646 Re
0.813 0.039 0.146 Re
0.813 0.461 0.146 Re
0.980 0.250 0.632 Re
```

## Properties
energy above the lowest structure with this stoichiometry = 0.238 eV per atom
calculated formation energy = 424 meV/atom
calculated total energy = -9.39 eV per atom
spin magnetization = 0.00 μB per formula unit

DFT (PBE) results for Be3CrIr after structural relaxation.

```
Be3CrIr
1.0
3.860 0.000 0.000
0.000 3.860 0.000
0.000 0.000 3.860
Be Cr Ir
3 1 1
Direct
0.000 0.000 0.500 Be
0.000 0.500 0.000 Be
0.500 0.000 0.000 Be
0.000 0.000 0.000 Cr
0.500 0.500 0.500 Ir
```

## Properties
energy above the lowest structure with this stoichiometry = 0.405 eV per atom
calculated formation energy = 1175 meV/atom
calculated total energy = -4.76 eV per atom
spin magnetization = 0.00 μB per formula unit

DFT (PBE) results for BaYTe4 after structural relaxation.

```
BaYTe4
1.0
7.005 0.000 0.000
0.000 7.005 0.000
0.000 0.000 8.427
Ba Y Te
2 2 8
Direct
0.250 0.250 0.000 Ba
0.750 0.750 0.000 Ba
0.250 0.250 0.500 Y
0.750 0.750 0.500 Y
0.098 0.598 0.286 Te
0.098 0.902 0.714 Te
0.402 0.598 0.714 Te
0.402 0.902 0.286 Te
0.598 0.098 0.714 Te
0.598 0.402 0.286 Te
0.902 0.098 0.286 Te
0.902 0.402 0.714 Te
```

## Properties
energy above the lowest structure with this stoichiometry = 0.000 eV per atom
calculated total energy = -4.60 eV per atom
raw formation energy = -1111 meV/atom
spin magnetization = 0.00 μB per formula unit

Q: The lowest calculated total energy belongs to which entry?
A: LiRe3